Entry 1:
First-principles (PBE-GGA) data for a relaxed LiTlCdAg crystal, as listed in Alexandria.

abc: 4.875 4.875 4.875
angles: 60.00 60.00 60.00
Fractional positions:
Li 0.000 0.000 0.000
Tl 0.750 0.750 0.750
Cd 0.250 0.250 0.250
Ag 0.500 0.500 0.500

Output
Its symmetry is F-43m. The value obtained for the formation energy is -0.5 eV per formula unit. The uncorrected energy comes out at -2.128 eV/atom. As for the crystal system: cubic.

---

Entry 2:
First-principles (PBE-GGA) data for a relaxed Ba2HfCl crystal, as listed in Alexandria.

abc: 6.038 6.038 6.038
angles: 60.00 60.00 60.00
Fractional positions:
Ba 0.250 0.250 0.250
Ba 0.750 0.750 0.750
Hf 0.000 0.000 0.000
Cl 0.500 0.500 0.500

Output
Its symmetry is Fm-3m. For the excess energy over the best structure of this formula in the dataset, the calculation gives 146 meV/atom. The uncorrected energy comes out at -3.699 eV/atom. As for the crystal system: cubic. Its uncorrected formation energy is 0.85 eV per formula unit.

---

Entry 3:
First-principles (PBE-GGA) data for a relaxed SrAgTe crystal, as listed in Alexandria.

abc: 6.302 6.302 7.073
angles: 102.62 102.62 43.50
Fractional positions:
Sr 0.000 0.000 0.000
Sr 0.663 0.663 0.546
Ag 0.338 0.338 0.281
Ag 0.697 0.697 0.106
Te 0.287 0.287 0.866
Te 0.946 0.946 0.479

Output
Its symmetry is Cm. For the excess energy over the best structure of this formula in the dataset, the calculation gives 115 meV/atom. The uncorrected energy comes out at -3.365 eV/atom. As for the crystal system: monoclinic. Its uncorrected formation energy is -2.42 eV per formula unit.

---

Entry 4:
First-principles (PBE-GGA) data for a relaxed Hf4InS8 crystal, as listed in Alexandria.

abc: 8.761 8.761 8.761
angles: 48.76 48.76 48.76
Fractional positions:
Hf 0.000 0.000 0.000
Hf 0.000 0.500 0.500
Hf 0.500 0.000 0.500
Hf 0.500 0.500 0.000
In 0.500 0.500 0.500
S 0.231 0.231 0.732
S 0.231 0.732 0.231
S 0.268 0.769 0.769
S 0.270 0.270 0.270
S 0.730 0.730 0.730
S 0.732 0.231 0.231
S 0.769 0.268 0.769
S 0.769 0.769 0.268

Output
Its symmetry is R-3m. For the excess energy over the best structure of this formula in the dataset, the calculation gives 0 meV/atom. The uncorrected energy comes out at -7.273 eV/atom. As for the crystal system: trigonal. Its uncorrected formation energy is -18.97 eV per formula unit.

---

Entry 5:
First-principles (PBE-GGA) data for a relaxed Li3HoGa3 crystal, as listed in Alexandria.

abc: 6.623 6.623 6.623
angles: 90.00 90.00 90.00
Fractional positions:
Li 0.000 0.250 0.500
Li 0.000 0.750 0.500
Li 0.250 0.500 0.000
Li 0.500 0.000 0.250
Li 0.500 0.000 0.750
Li 0.750 0.500 0.000
Ho 0.000 0.000 0.000
Ho 0.500 0.500 0.500
Ga 0.000 0.500 0.250
Ga 0.000 0.500 0.750
Ga 0.250 0.000 0.500
Ga 0.500 0.250 0.000
Ga 0.500 0.750 0.000
Ga 0.750 0.000 0.500

Output
Its symmetry is Pm-3n. The value obtained for the formation energy is 1.3 eV per formula unit. For the excess energy over the best structure of this formula in the dataset, the calculation gives 527 meV/atom. The uncorrected energy comes out at -2.581 eV/atom. As for the crystal system: cubic.

---

Entry 6:
First-principles (PBE-GGA) data for a relaxed Tb2NiPt crystal, as listed in Alexandria.

abc: 5.543 4.333 7.638
angles: 90.00 110.18 90.00
Fractional positions:
Tb 0.219 0.250 0.431
Tb 0.222 0.250 0.930
Tb 0.778 0.750 0.070
Tb 0.781 0.750 0.569
Ni 0.341 0.750 0.708
Ni 0.659 0.250 0.292
Pt 0.343 0.750 0.212
Pt 0.657 0.250 0.788

Output
Its symmetry is P2_1/m. The value obtained for the formation energy is -3.4 eV per formula unit. The uncorrected energy comes out at -6.133 eV/atom. As for the crystal system: monoclinic.